Entry 1:
The following is a PBE calculation of an optimized crystal structure of TmTl2InI6, from the Alexandria database.

Cell lengths 8.5853, 8.5864, 8.9222 Å; angles 61.15, 61.13, 59.86 degrees
Fractional coordinates of all 10 atoms:
1 Tm 0.3256 0.3255 0.0231
2 Tl 0.5262 0.5251 0.4230
3 Tl 0.0153 0.0154 0.9551
4 In 0.8181 0.8186 0.5447
5 I 0.5601 0.2070 0.2484
6 I 0.2067 0.9843 0.2484
7 I 0.9836 0.5618 0.2477
8 I 0.4337 0.6756 0.7742
9 I 0.6768 0.1145 0.7755
10 I 0.1155 0.4338 0.7751

The value obtained for the raw formation energy is -0.899 eV per atom. The value obtained for the density of states at the Fermi level is 0.0 states/eV/f.u. As for the energy: -3.023 eV per atom.

Entry 2:
The following is a PBE calculation of an optimized crystal structure of LiCaRh2, from the Alexandria database.

Cell lengths 5.0699, 5.0699, 5.0699 Å; angles 133.81, 133.81, 67.38 degrees
Fractional coordinates of all 4 atoms:
1 Ca 0.2500 0.7500 0.5000
2 Li 0.7500 0.2500 0.5000
3 Rh 0.0000 0.0000 0.0000
4 Rh 0.5000 0.5000 0.0000

The value obtained for the density of states at the Fermi level is 4.8 states/eV/f.u. As for the energy: -4.738 eV per atom. Its calculated formation energy is -0.084 eV per atom.

Entry 3:
The following is a PBE calculation of an optimized crystal structure of La3Dy2Th3, from the Alexandria database.

Cell lengths 5.0913, 5.1445, 10.2229 Å; angles 90.00, 90.00, 90.00 degrees
Fractional coordinates of all 8 atoms:
1 La 0.0000 0.5000 0.5000
2 La 0.5000 0.0000 0.0000
3 La 0.5000 0.0000 0.5000
4 Dy 0.0000 0.0000 0.2431
5 Dy 0.0000 0.0000 0.7569
6 Th 0.5000 0.5000 0.2442
7 Th 0.5000 0.5000 0.7558
8 Th 0.0000 0.5000 0.0000

The value obtained for the density of states at the Fermi level is 12.9 states/eV/f.u. As for the energy: -5.721 eV per atom. Its calculated formation energy is 0.060 eV per atom.

- Among the records above, which one has the highest energy?
  TmTl2InI6